Record 1
The following is a PBE calculation of an optimized crystal structure of HoEr2Sc3As2Os, from OQMD.

Unit cell a=4.072 b=13.012 c=7.511 alpha=90.00 beta=90.00 gamma=90.00
Space group Amm2 (No. 38)
Unique sites:
Ho  0.000  0.000  0.000
Er  0.000  0.203  0.609
Sc  0.500  0.000  0.644
Sc  0.500  0.119  0.288
As  0.500  0.167  0.906
Os  0.000  0.000  0.408

=====

Record 2
The following is a PBE calculation of an optimized crystal structure of BaTmSi4Ni2, from OQMD.

Unit cell a=4.020 b=4.126 c=17.512 alpha=90.00 beta=90.00 gamma=90.00
Space group Amm2 (No. 38)
Unique sites:
Ba  0.000  0.000  0.000
Tm  0.500  0.000  0.783
Si  0.000  0.000  0.345
Si  0.000  0.000  0.651
Si  0.500  0.000  0.151
Si  0.500  0.000  0.420
Ni  0.000  0.000  0.218
Ni  0.500  0.000  0.584

=====

Record 3
The following is a PBE calculation of an optimized crystal structure of BaTbGe, from OQMD.

Unit cell a=7.500 b=7.500 c=7.500 alpha=90.00 beta=90.00 gamma=90.00
Space group F-43m (No. 216)
Unique sites:
Ba  0.000  0.000  0.000
Tb  0.250  0.250  0.250
Ge  0.250  0.250  0.750

=====

no.,E (eV/atom),M_tot (Bohr magnetons per cell)
1,-6.77,0.0
2,-5.46,0.0
3,-3.21,0.1